Entry 1:
Density functional theory data (PBE-GGA) for KRbIn2Rh after structural relaxation.

The structure belongs to space group P4/mmm (No. 123); the cell edges are 5.256, 5.256 and 6.138 Å and the angles 90.00°, 90.00° and 90.00°. The asymmetric unit holds K at (0.000, 0.000, 0.000), Rb at (0.500, 0.500, 0.000), In at (0.000, 0.500, 0.500) and Rh at (0.000, 0.000, 0.500).

The energy of formation comes out at -0.0920 eV per atom. The value obtained for the magnetic moment is 0.000 μB per cell. As for the total DFT energy (no corrections): -3.071 eV per atom.

Entry 2:
Density functional theory data (PBE-GGA) for KRbInSb after structural relaxation.

The structure belongs to space group F-43m (No. 216); the cell edges are 8.401, 8.401 and 8.401 Å and the angles 90.00°, 90.00° and 90.00°. The asymmetric unit holds K at (0.000, 0.000, 0.000), Rb at (0.250, 0.250, 0.750), In at (0.000, 0.000, 0.500) and Sb at (0.250, 0.250, 0.250).

Its formation energy without anion corrections is -190 meV per atom. The value obtained for the magnetic moment is 0.000 μB per cell. As for the total DFT energy (no corrections): -2.422 eV per atom.

Entry 3:
Density functional theory data (PBE-GGA) for K2RbInSb2 after structural relaxation.

The structure belongs to space group Ibam (No. 72); the cell edges are 9.017, 14.940 and 7.662 Å and the angles 90.00°, 90.00° and 90.00°. The asymmetric unit holds K at (0.175, 0.180, 0.000), Rb at (0.000, 0.500, 0.250), In at (0.000, 0.000, 0.250) and Sb at (0.189, 0.098, 0.500).

Its formation energy without anion corrections is -415 meV per atom. The value obtained for the magnetic moment is 0.000 μB per cell. As for the total DFT energy (no corrections): -2.773 eV per atom.

Entry 4:
Density functional theory data (PBE-GGA) for KRbIn2Sb2 after structural relaxation.

The structure belongs to space group P-3m1 (No. 164); the cell edges are 5.2331, 5.2331 and 9.9994 Å and the angles 90.00°, 90.00° and 120.00°. The asymmetric unit holds K at (0.0000, 0.0000, 0.0000), Rb at (0.0000, 0.0000, 0.5000), In at (0.3333, 0.6667, 0.2272) and Sb at (0.3333, 0.6667, 0.7646).

Its formation energy without anion corrections is -213 meV per atom. The value obtained for the magnetic moment is 0.000 μB per cell. As for the total DFT energy (no corrections): -2.844 eV per atom.

Entry 5:
Density functional theory data (PBE-GGA) for K2RbScIn after structural relaxation.

The structure belongs to space group P4/mmm (No. 123); the cell edges are 6.692, 6.692 and 6.870 Å and the angles 90.00°, 90.00° and 90.00°. The asymmetric unit holds K at (0.000, 0.500, 0.000), Rb at (0.000, 0.000, 0.500), Sc at (0.500, 0.500, 0.500) and In at (0.000, 0.000, 0.000).

The energy of formation comes out at 0.7489 eV per atom. The value obtained for the magnetic moment is 0.333 μB per cell. As for the total DFT energy (no corrections): -1.698 eV per atom.

Entry 6:
Density functional theory data (PBE-GGA) for KRbIn2Te4 after structural relaxation.

The structure belongs to space group I222 (No. 23); the cell edges are 8.139, 9.083 and 9.695 Å and the angles 90.00°, 90.00° and 90.00°. The asymmetric unit holds K at (0.000, 0.000, 0.000), Rb at (0.000, 0.000, 0.500), In at (0.000, 0.500, 0.272) and Te at (0.238, 0.302, 0.268).

Its formation energy without anion corrections is -439 meV per atom. The value obtained for the magnetic moment is 0.000 μB per cell. As for the total DFT energy (no corrections): -2.953 eV per atom.

Entry 7:
Density functional theory data (PBE-GGA) for KRbTl2In after structural relaxation.

The structure belongs to space group P4/mmm (No. 123); the cell edges are 6.097, 6.097 and 6.524 Å and the angles 90.00°, 90.00° and 90.00°. The asymmetric unit holds K at (0.000, 0.000, 0.000), Rb at (0.500, 0.500, 0.000), Tl at (0.000, 0.500, 0.500) and In at (0.000, 0.000, 0.500).

The energy of formation comes out at 0.0895 eV per atom. The value obtained for the magnetic moment is 0.000 μB per cell. As for the total DFT energy (no corrections): -1.818 eV per atom.

Entry 8:
Density functional theory data (PBE-GGA) for KRb2Tl12In3 after structural relaxation.

The structure belongs to space group R-3m (No. 166, hexagonal axes); the cell edges are 8.6049, 8.6049 and 33.1553 Å and the angles 90.00°, 90.00° and 120.00°. The asymmetric unit holds K at (0.0000, 0.0000, 0.0000), Rb at (0.0000, 0.0000, 0.3582), Tl at (0.0540, 0.5270, 0.4049), Tl at (0.0804, 0.5402, 0.1236) and In at (0.0000, 0.5000, 0.5000).

The energy of formation comes out at 0.0563 eV per atom. The value obtained for the magnetic moment is 0.000 μB per cell. As for the total DFT energy (no corrections): -2.146 eV per atom.

- What is the total DFT energy (no corrections) in the eighth record?
  -2.146 eV per atom

- Among the records above, which one has the highest total DFT energy (no corrections)?
  K2RbScIn

- total DFT energy (no corrections) of number 7 (KRbTl2In)?
  -1.818 eV per atom